The following is a meta-GGA SCAN calculation of ThCo2Si2 at its PBEsol-relaxed geometry, from Alexandria. Values from VASP.

The structure in Quantum ESPRESSO input format:
```
&SYSTEM
  ibrav = 0, nat = 5, ntyp = 3
/
ATOMIC_SPECIES
Co 58.93 Co.upf
Si 28.09 Si.upf
Th 232.04 Th.upf
CELL_PARAMETERS angstrom
-2.0605 3.2090 1.1832
-2.9881 -1.0170 -2.4454
0.5327 -3.6663 4.1338
ATOMIC_POSITIONS angstrom
Co -2.4899 -1.7937 0.5287
Co -2.0261 0.3193 2.3430
Si -1.4590 -1.8830 2.5660
Si -3.0569 0.4086 0.3057
Th 0.0000 0.0000 0.0000
```

Properties
Space-group type ... I4/mmm (139)
Size of the total moment ... 1.2 μB per cell
ΔE_f (raw) ... -0.720 eV per atom
D(E_F) ... 0.6068 states/eV per atom
V ... 76.2 Å³/f.u.